Entry 1:
Entry from the Alexandria database: CaZn2SbAu after structural relaxation (GGA-PBE).

abc: 5.4949 5.8720 5.4949
angles: 90.00 90.00 90.00
With the nearest neighbours (Å) after each atom.
Fractional coordinates of all 5 atoms:
Zn (0.0000, 0.0000, 0.5000)  2 Ca 2.75
Au (0.5000, 0.5000, 0.5000)  4 Sb 3.89, 8 Zn 4.02
Ca (0.0000, 0.0000, 0.0000)  4 Zn 2.75, 2 Sb 2.94
Zn (0.5000, 0.0000, 0.0000)  2 Ca 2.75
Sb (0.0000, 0.5000, 0.0000)  2 Ca 2.94

Results
**Volume**: 35.46 A^3/atom
**Spin magnetization**: 0.0 μB/cell
**Symmetry**: P4/mmm, No. 123
**Formation energy from raw total energies**: 0.788 eV per atom
**E_tot**: -1.60 eV/atom

Entry 2:
Entry from the Alexandria database: InSeSCl2 after structural relaxation (GGA-PBE).

abc: 5.1641 5.1641 5.2002
angles: 90.00 90.00 90.00
With the nearest neighbours (Å) after each atom.
Fractional coordinates of all 5 atoms:
Cl (0.0000, 0.5000, 0.0000)  2 In 2.58
In (0.0000, 0.0000, 0.0000)  4 Cl 2.58, 2 S 2.60
Cl (0.5000, 0.0000, 0.0000)  2 In 2.58
Se (0.5000, 0.5000, 0.5000)  4 S 3.65, 8 Cl 3.66
S (0.0000, 0.0000, 0.5000)  2 In 2.60

Results
**Volume**: 27.74 A^3/atom
**Spin magnetization**: 2.9 μB/cell
**Symmetry**: P4/mmm, No. 123
**Energy above the most stable polymorph in this dataset**: 194 meV per atom
**Formation energy from raw total energies**: 0.082 eV per atom
**E_tot**: -2.73 eV/atom

Entry 3:
Entry from the Alexandria database: Mg3CrSn after structural relaxation (GGA-PBE).

abc: 5.1675 5.1675 5.1675
angles: 90.00 90.00 90.00
With the nearest neighbours (Å) after each atom.
Fractional coordinates of all 5 atoms:
Cr (0.0000, 0.0000, 0.0000)  6 Mg 2.58
Mg (0.0000, 0.5000, 0.0000)  2 Cr 2.58
Sn (0.5000, 0.5000, 0.5000)  12 Mg 3.65
Mg (0.0000, 0.0000, 0.5000)  2 Cr 2.58
Mg (0.5000, 0.0000, 0.0000)  2 Cr 2.58

Results
**Volume**: 27.60 A^3/atom
**Spin magnetization**: 3.9 μB/cell
**Symmetry**: Pm-3m, No. 221
**Energy above the most stable polymorph in this dataset**: 0 meV per atom
**Energy of formation from the pure elements**: 0.6846 eV/atom
**E_tot**: -3.00 eV/atom

Entry 4:
Entry from the Alexandria database: ReCF3 after structural relaxation (GGA-PBE).

abc: 4.0119 4.0119 4.0119
angles: 90.00 90.00 90.00
With the nearest neighbours (Å) after each atom.
Fractional coordinates of all 5 atoms:
C (0.0000, 0.0000, 0.0000)  6 F 2.01
F (0.0000, 0.5000, 0.0000)  2 C 2.01
F (0.5000, 0.0000, 0.0000)  2 C 2.01
Re (0.5000, 0.5000, 0.5000)  12 F 2.84
F (0.0000, 0.0000, 0.5000)  2 C 2.01

Results
**Volume**: 12.91 A^3/atom
**Spin magnetization**: 4.9 μB/cell
**Symmetry**: Pm-3m, No. 221
**Energy above the most stable polymorph in this dataset**: 465 meV per atom
**Formation energy from raw total energies**: 1.074 eV per atom
**E_tot**: -4.38 eV/atom

Entry 5:
Entry from the Alexandria database: Sr2ScIr after structural relaxation (GGA-PBE).

abc: 5.3422 5.3422 5.3422
angles: 60.00 60.00 60.00
With the nearest neighbours (Å) after each atom.
Fractional coordinates of all 4 atoms:
Sr (0.7500, 0.7500, 0.7500)  4 Ir 3.27, 4 Sc 3.27
Sr (0.2500, 0.2500, 0.2500)  4 Ir 3.27, 4 Sc 3.27
Sc (0.0000, 0.0000, 0.0000)  8 Sr 3.27
Ir (0.5000, 0.5000, 0.5000)  8 Sr 3.27

Results
**Volume**: 26.95 A^3/atom
**Spin magnetization**: 0.0 μB/cell
**Symmetry**: Fm-3m, No. 225
**Energy above the most stable polymorph in this dataset**: 632 meV per atom
**Energy of formation from the pure elements**: 0.3622 eV/atom
**E_tot**: -4.28 eV/atom

Entry 6:
Entry from the Alexandria database: ThScGeSe after structural relaxation (GGA-PBE).

abc: 4.1276 4.1276 7.0111
angles: 72.88 72.88 60.00
With the nearest neighbours (Å) after each atom.
Fractional coordinates of all 4 atoms:
Se (0.9360, 0.9360, 0.1921)  3 Sc 2.85, 3 Th 3.04
Sc (0.1901, 0.1901, 0.4297)  3 Ge 2.77, 3 Se 2.85
Ge (0.4522, 0.4522, 0.6436)  3 Sc 2.77, 3 Th 2.94
Th (0.6982, 0.6982, 0.9053)  3 Ge 2.94, 3 Se 3.04

Results
**Volume**: 24.32 A^3/atom
**Spin magnetization**: 0.0 μB/cell
**Symmetry**: R3m, No. 160
**Formation energy from raw total energies**: -1.209 eV per atom
**E_tot**: -6.67 eV/atom

Entry 7:
Entry from the Alexandria database: SrAlHg2 after structural relaxation (GGA-PBE).

abc: 6.0550 5.8203 5.8552
angles: 137.88 127.53 68.80
With the nearest neighbours (Å) after each atom.
Fractional coordinates of all 4 atoms:
Hg (0.7742, 0.2730, 0.5169)  4 Al 3.24-3.57, 3 Hg 3.25-3.46, 4 Sr 3.38-3.49
Al (0.2018, 0.7174, 0.4752)  2 Hg 2.85-2.88
Sr (0.4926, 0.4887, 0.0014)  8 Hg 3.33-3.49, 4 Al 3.37-3.49
Hg (0.0313, 0.0209, 0.0065)  2 Al 2.85-2.88

Results
**Volume**: 27.04 A^3/atom
**Spin magnetization**: 0.0 μB/cell
**Symmetry**: P1, No. 1
**Energy of formation from the pure elements**: -0.1651 eV/atom
**E_tot**: -1.67 eV/atom

Entry 8:
Entry from the Alexandria database: Sm2Y2ErTm4 after structural relaxation (GGA-PBE).

abc: 3.5690 9.4392 9.4896
angles: 115.27 90.00 100.90
With the nearest neighbours (Å) after each atom.
Fractional coordinates of all 9 atoms:
Tm (0.5193, 0.0386, 0.3338)  4 Y 3.48-3.57, 2 Er 3.52, 1 Sm 3.52, 5 Tm 3.52-3.57
Tm (0.4807, 0.9614, 0.6662)  4 Y 3.48-3.57, 2 Er 3.52, 1 Sm 3.52, 5 Tm 3.52-3.57
Y (0.1468, 0.2936, 0.6631)  7 Tm 3.47-3.59, 3 Sm 3.55-3.56, 2 Y 3.57
Tm (0.1849, 0.3699, 0.3364)  3 Y 3.47-3.59, 6 Tm 3.48-3.57, 2 Sm 3.52, 1 Er 3.53
Sm (0.6655, 0.3310, 0.0017)  3 Tm 3.52, 2 Er 3.54, 3 Y 3.55-3.56, 4 Sm 3.57-3.62
Y (0.8532, 0.7064, 0.3369)  7 Tm 3.47-3.59, 3 Sm 3.55-3.56, 2 Y 3.57
Tm (0.8151, 0.6301, 0.6636)  3 Y 3.47-3.59, 6 Tm 3.48-3.57, 2 Sm 3.52, 1 Er 3.53
Sm (0.3345, 0.6690, 0.9983)  3 Tm 3.52, 2 Er 3.54, 3 Y 3.55-3.56, 4 Sm 3.57-3.62
Er (0.0000, 0.0000, 0.0000)  6 Tm 3.52-3.53, 4 Sm 3.54, 2 Er 3.57

Results
**Volume**: 31.41 A^3/atom
**Spin magnetization**: 0.0 μB/cell
**Symmetry**: C2/m, No. 12
**Energy of formation from the pure elements**: -0.0014 eV/atom
**E_tot**: -4.98 eV/atom

Entry 9:
Entry from the Alexandria database: Zr2AuCl2 after structural relaxation (GGA-PBE).

abc: 4.7224 4.7224 5.6948
angles: 65.50 65.50 90.00
With the nearest neighbours (Å) after each atom.
Fractional coordinates of all 5 atoms:
Cl (0.3522, 0.3522, 0.2955)  4 Zr 2.54, 1 Cl 2.73
Zr (0.7500, 0.2500, 0.5000)  4 Cl 2.54
Zr (0.2500, 0.7500, 0.5000)  4 Cl 2.54
Cl (0.6478, 0.6478, 0.7045)  4 Zr 2.54, 1 Cl 2.73
Au (0.0000, 0.0000, 0.0000)  10 Cl 3.25-3.61, 8 Zr 3.30

Results
**Volume**: 20.58 A^3/atom
**Spin magnetization**: 0.0 μB/cell
**Symmetry**: I4/mmm, No. 139
**Energy above the most stable polymorph in this dataset**: 0 meV per atom
**Formation energy from raw total energies**: -0.494 eV per atom
**E_tot**: -5.31 eV/atom

Entry 10:
Entry from the Alexandria database: Ca3TiFe after structural relaxation (GGA-PBE).

abc: 5.3002 5.3002 5.3002
angles: 90.00 90.00 90.00
With the nearest neighbours (Å) after each atom.
Fractional coordinates of all 5 atoms:
Ti (0.5000, 0.5000, 0.5000)  12 Ca 3.75
Ca (0.0000, 0.5000, 0.0000)  2 Fe 2.65
Fe (0.0000, 0.0000, 0.0000)  6 Ca 2.65
Ca (0.0000, 0.0000, 0.5000)  2 Fe 2.65
Ca (0.5000, 0.0000, 0.0000)  2 Fe 2.65

Results
**Volume**: 29.78 A^3/atom
**Spin magnetization**: 0.0 μB/cell
**Symmetry**: Pm-3m, No. 221
**Energy above the most stable polymorph in this dataset**: 0 meV per atom
**Energy of formation from the pure elements**: 0.9526 eV/atom
**E_tot**: -3.52 eV/atom

Entry 11:
Entry from the Alexandria database: LiBiCl3 after structural relaxation (GGA-PBE).

abc: 4.7341 4.7341 4.7341
angles: 90.00 90.00 90.00
With the nearest neighbours (Å) after each atom.
Fractional coordinates of all 5 atoms:
Cl (0.0000, 0.0000, 0.5000)  2 Li 2.37
Cl (0.0000, 0.5000, 0.0000)  2 Li 2.37
Bi (0.5000, 0.5000, 0.5000)  12 Cl 3.35
Cl (0.5000, 0.0000, 0.0000)  2 Li 2.37
Li (0.0000, 0.0000, 0.0000)  6 Cl 2.37

Results
**Volume**: 21.22 A^3/atom
**Spin magnetization**: 0.0 μB/cell
**Symmetry**: Pm-3m, No. 221
**Energy above the most stable polymorph in this dataset**: 328 meV per atom
**Formation energy from raw total energies**: -0.848 eV per atom
**E_tot**: -3.11 eV/atom

Entry 12:
Entry from the Alexandria database: NiOsRh2 after structural relaxation (GGA-PBE).

abc: 4.6260 4.6260 4.6219
angles: 80.06 80.06 33.84
With the nearest neighbours (Å) after each atom.
Fractional coordinates of all 4 atoms:
Ni (0.5019, 0.5019, 0.4990)  7 Rh 2.62-2.73, 3 Os 2.64-2.71, 2 Ni 2.69
Rh (0.7526, 0.7526, 0.7373)  4 Os 2.64-2.71, 3 Ni 2.65, 5 Rh 2.69-2.74
Os (0.2475, 0.2475, 0.2489)  7 Rh 2.63-2.71, 3 Ni 2.64-2.71, 2 Os 2.69
Rh (0.9980, 0.9980, 0.0149)  4 Ni 2.62-2.73, 3 Os 2.63-2.65, 5 Rh 2.69-2.74

Results
**Volume**: 13.55 A^3/atom
**Spin magnetization**: 0.0 μB/cell
**Symmetry**: Cm, No. 8
**Energy above the most stable polymorph in this dataset**: 42 meV per atom
**Energy of formation from the pure elements**: 0.0797 eV/atom
**E_tot**: -7.85 eV/atom